(1)
First-principles (PBE) data for a relaxed ErZnAg2 crystal, as listed in Alexandria via LeMat-Bulk.

```
data_ErZnAg2
_cell_length_a 3.417
_cell_length_b 3.417
_cell_length_c 6.794
_cell_angle_alpha 90.00
_cell_angle_beta 90.00
_cell_angle_gamma 90.00
_symmetry_space_group_name_H-M 'P 4/m m m'
_symmetry_Int_Tables_number 123
_symmetry_space_group_name_Hall '-P 4 2'
loop_
_atom_site_label
_atom_site_fract_x
_atom_site_fract_y
_atom_site_fract_z
Er1 0.000 0.000 0.000
Zn1 0.000 0.000 0.500
Ag1 0.500 0.500 0.282
```

## Properties
Formation energy from the elements in eV/atom: -0.1611
N(E_F) in states/eV per atom: 0.597
Spin magnetization in Bohr magnetons per cell: 0.0

***

(2)
First-principles (PBE) data for a relaxed Er3Zn7Ag crystal, as listed in Alexandria via LeMat-Bulk.

```
data_Er3Zn7Ag
_cell_length_a 3.603
_cell_length_b 19.710
_cell_length_c 12.491
_cell_angle_alpha 90.00
_cell_angle_beta 90.00
_cell_angle_gamma 90.00
_symmetry_space_group_name_H-M 'C m c m'
_symmetry_Int_Tables_number 63
_symmetry_space_group_name_Hall '-C 2c 2'
loop_
_atom_site_label
_atom_site_fract_x
_atom_site_fract_y
_atom_site_fract_z
Er1 0.000 0.114 0.050
Er2 0.000 0.253 0.750
Zn1 0.000 0.265 0.061
Zn2 0.000 0.373 0.151
Zn3 0.000 0.413 0.750
Zn4 0.000 0.495 0.098
Ag1 0.000 0.038 0.750
```

## Properties
Formation energy from the elements in eV/atom: -0.2009
N(E_F) in states/eV per atom: 0.576
Spin magnetization in Bohr magnetons per cell: 0.0

***

(3)
First-principles (PBE) data for a relaxed Er3ZnAg2 crystal, as listed in Alexandria via LeMat-Bulk.

```
data_Er3ZnAg2
_cell_length_a 5.0753
_cell_length_b 5.0753
_cell_length_c 12.3739
_cell_angle_alpha 90.00
_cell_angle_beta 90.00
_cell_angle_gamma 120.00
_symmetry_space_group_name_H-M 'P -3 m 1'
_symmetry_Int_Tables_number 164
_symmetry_space_group_name_Hall '-P 3 2"'
loop_
_atom_site_label
_atom_site_fract_x
_atom_site_fract_y
_atom_site_fract_z
Er1 0.0000 0.0000 0.2479
Er2 0.3333 0.6667 0.4151
Er3 0.3333 0.6667 0.9177
Zn1 0.3333 0.6667 0.1674
Ag1 0.0000 0.0000 0.0000
Ag2 0.0000 0.0000 0.5000
Ag3 0.3333 0.6667 0.6707
```

## Properties
Formation energy from the elements in eV/atom: -0.3352
N(E_F) in states/eV per atom: 0.658
Spin magnetization in Bohr magnetons per cell: 0.0

***

(4)
First-principles (PBE) data for a relaxed ErZnAg3 crystal, as listed in Alexandria via LeMat-Bulk.

```
data_ErZnAg3
_cell_length_a 4.392
_cell_length_b 25.868
_cell_length_c 3.667
_cell_angle_alpha 90.00
_cell_angle_beta 90.00
_cell_angle_gamma 90.00
_symmetry_space_group_name_H-M 'C m m m'
_symmetry_Int_Tables_number 65
_symmetry_space_group_name_Hall '-C 2 2'
loop_
_atom_site_label
_atom_site_fract_x
_atom_site_fract_y
_atom_site_fract_z
Er1 0.000 0.169 0.000
Zn1 0.000 0.378 0.500
Ag1 0.000 0.059 0.500
Ag2 0.000 0.280 0.500
Ag3 0.000 0.448 0.000
```

## Properties
Formation energy from the elements in eV/atom: -0.0835
N(E_F) in states/eV per atom: 0.514
Distance to the lowest polymorph of the same formula in eV per atom: 0.122
Spin magnetization in Bohr magnetons per cell: 0.0

***

(5)
First-principles (PBE) data for a relaxed Er4ZnAg2 crystal, as listed in Alexandria via LeMat-Bulk.

```
data_Er4ZnAg2
_cell_length_a 5.0284
_cell_length_b 5.0284
_cell_length_c 24.3980
_cell_angle_alpha 90.00
_cell_angle_beta 90.00
_cell_angle_gamma 120.00
_symmetry_space_group_name_H-M 'R -3 m'
_symmetry_Int_Tables_number 166
_symmetry_space_group_name_Hall '-R 3 2"'
loop_
_atom_site_label
_atom_site_fract_x
_atom_site_fract_y
_atom_site_fract_z
Er1 0.0000 0.0000 0.1228
Er2 0.0000 0.0000 0.3740
Zn1 0.0000 0.0000 0.5000
Ag1 0.0000 0.0000 0.2486
```

## Properties
Formation energy from the elements in eV/atom: -0.1859
N(E_F) in states/eV per atom: 0.772
Spin magnetization in Bohr magnetons per cell: 0.0

***

(6)
First-principles (PBE) data for a relaxed Er2Zn2Ag crystal, as listed in Alexandria via LeMat-Bulk.

```
data_Er2Zn2Ag
_cell_length_a 10.262
_cell_length_b 4.530
_cell_length_c 10.363
_cell_angle_alpha 90.00
_cell_angle_beta 115.28
_cell_angle_gamma 90.00
_symmetry_space_group_name_H-M 'C 1 2/m 1'
_symmetry_Int_Tables_number 12
loop_
_symmetry_equiv_pos_as_xyz
'x,y,z'
'-x,-y,-z'
'-x,y,-z'
'x,-y,z'
'x+1/2,y+1/2,z'
'-x+1/2,-y+1/2,-z'
'-x+1/2,y+1/2,-z'
'x+1/2,-y+1/2,z'
loop_
_atom_site_label
_atom_site_fract_x
_atom_site_fract_y
_atom_site_fract_z
Er1 0.011 0.000 0.330
Er2 0.189 0.000 0.106
Zn1 0.023 0.500 0.889
Zn2 0.135 0.500 0.569
Ag1 0.224 0.500 0.345
```

## Properties
Formation energy from the elements in eV/atom: -0.2932
N(E_F) in states/eV per atom: 0.805
Distance to the lowest polymorph of the same formula in eV per atom: 0.011
Spin magnetization in Bohr magnetons per cell: 0.0

***

(7)
First-principles (PBE) data for a relaxed Er2ZnAg3 crystal, as listed in Alexandria via LeMat-Bulk.

```
data_Er2ZnAg3
_cell_length_a 3.363
_cell_length_b 4.662
_cell_length_c 8.138
_cell_angle_alpha 90.00
_cell_angle_beta 90.00
_cell_angle_gamma 90.00
_symmetry_space_group_name_H-M 'P m m 2'
_symmetry_Int_Tables_number 25
loop_
_symmetry_equiv_pos_as_xyz
'x,y,z'
'-x,-y,z'
'-x,y,z'
'x,-y,z'
loop_
_atom_site_label
_atom_site_fract_x
_atom_site_fract_y
_atom_site_fract_z
Er1 0.000 0.000 0.000
Er2 0.000 0.500 0.499
Zn1 0.500 0.500 0.830
Ag1 0.500 0.000 0.337
Ag2 0.500 0.000 0.677
Ag3 0.500 0.500 0.155
```

## Properties
Formation energy from the elements in eV/atom: -0.2868
N(E_F) in states/eV per atom: 0.598
Spin magnetization in Bohr magnetons per cell: 0.0

***

(8)
First-principles (PBE) data for a relaxed Er2ZnAg3 crystal, as listed in Alexandria via LeMat-Bulk.

```
data_Er2ZnAg3
_cell_length_a 6.655
_cell_length_b 9.398
_cell_length_c 16.238
_cell_angle_alpha 90.00
_cell_angle_beta 90.00
_cell_angle_gamma 90.00
_symmetry_space_group_name_H-M 'F m m m'
_symmetry_Int_Tables_number 69
_symmetry_space_group_name_Hall '-F 2 2'
loop_
_atom_site_label
_atom_site_fract_x
_atom_site_fract_y
_atom_site_fract_z
Er1 0.249 0.000 0.000
Er2 0.250 0.250 0.250
Zn1 0.000 0.000 0.333
Ag1 0.000 0.000 0.170
Ag2 0.000 0.244 0.415
```

## Properties
Formation energy from the elements in eV/atom: -0.2881
N(E_F) in states/eV per atom: 0.599
Spin magnetization in Bohr magnetons per cell: 0.0

***

- Which of these has the lowest formation energy from the elements?
  Er3ZnAg2

***

- Among the records above, which one has the highest formation energy from the elements?
  ErZnAg3

***

- Among the records above, which one has the highest formation energy from the elements?
  ErZnAg3